No. 1
Computed, not measured: an optimized crystal structure of LiCaCuW2 at the PBE level of DFT.

Cell: 4.7555 4.7555 3.9727 Å, 90.00 90.00 90.00°
Closest atoms and distances in Å follow each position.
Fractional positions:
Li: 0.0000 0.0000 0.0000  2 Ca 1.99
Ca: 0.0000 0.0000 0.5000  2 Li 1.99
Cu: 0.5000 0.5000 0.0000  8 W 3.10, 4 Li 3.36
W: 0.0000 0.5000 0.5000  2 Ca 2.38
W: 0.5000 0.0000 0.5000  2 Ca 2.38

Properties
**Total DFT energy (no corrections)**: -20.83 eV for the cell shown
**Calculated density**: 8839 kg/m³
**Symmetry**: P4/mmm, No. 123
**Crystal system**: tetragonal

No. 2
Computed, not measured: an optimized crystal structure of K2MgZn at the PBE level of DFT.

Cell: 4.8595 4.8595 25.7666 Å, 90.00 90.00 120.00°
Closest atoms and distances in Å follow each position.
Fractional positions:
K: 0.0000 0.0000 0.0000  3 Mg 3.70, 3 Zn 3.70
K: 0.0000 0.0000 0.1875  3 Zn 3.70, 3 Mg 3.70
K: 0.3333 0.6667 0.6667  3 Mg 3.70, 3 Zn 3.70
K: 0.3333 0.6667 0.8541  3 Zn 3.70, 3 Mg 3.70
K: 0.6667 0.3333 0.3333  3 Mg 3.70, 3 Zn 3.70
K: 0.6667 0.3333 0.5208  3 Zn 3.70, 3 Mg 3.70
Mg: 0.0000 0.0000 0.4271  3 Zn 2.81
Mg: 0.3333 0.6667 0.0937  3 Zn 2.81
Mg: 0.6667 0.3333 0.7604  3 Zn 2.81
Zn: 0.0000 0.0000 0.7606  3 Mg 2.81
Zn: 0.3333 0.6667 0.4272  3 Mg 2.81
Zn: 0.6667 0.3333 0.0939  3 Mg 2.81

Properties
**Calculated density**: 1587 kg/m³
**Symmetry**: R3m, No. 160
**Distance to the lowest polymorph of the same formula**: 0.0000 eV per atom
**Crystal system**: trigonal

No. 3
Computed, not measured: an optimized crystal structure of Ce2ErZn at the PBE level of DFT.

Cell: 4.4003 4.4003 5.1124 Å, 90.00 90.00 90.00°
Closest atoms and distances in Å follow each position.
Fractional positions:
Ce: 0.0000 0.5000 0.0000  4 Ce 3.11, 4 Er 3.37, 4 Zn 3.37
Ce: 0.5000 0.0000 0.0000  4 Ce 3.11, 4 Er 3.37, 4 Zn 3.37
Er: 0.0000 0.0000 0.5000  4 Zn 3.11, 8 Ce 3.37
Zn: 0.5000 0.5000 0.5000  4 Er 3.11, 8 Ce 3.37

Properties
**Calculated density**: 8604 kg/m³
**Symmetry**: P4/mmm, No. 123
**Distance to the lowest polymorph of the same formula**: 0.0000 eV per atom
**Crystal system**: tetragonal

> Number 1 is which compound?

LiCaCuW2

> The lowest calculated density belongs to which entry?

K2MgZn

> Among the records above, which one has the highest calculated density?

LiCaCuW2